The following is a DFT calculation (PBE-GGA) of Li2CaCdAu2 after structural relaxation.

It has space group P-3m1 (No. 164), with a = 4.5511 Å, b = 4.5511 Å, c = 6.7632 Å, α = 90.00°, β = 90.00° and γ = 120.00°. The inequivalent atoms are Li at (0.3333, 0.6667, 0.1749), Ca at (0.0000, 0.0000, 0.5000), Cd at (0.0000, 0.0000, 0.0000) and Au at (0.3333, 0.6667, 0.7626).

The calculated formation energy is -541 meV per atom. Its total magnetization is 0.000 μB/cell. The calculation puts the uncorrected energy at -2.7579 eV per atom.